Here is a relaxed TbHoPd crystal from Alexandria. Energies are from GGA-PBE.

a = 6.7110 Å, b = 7.0563 Å, c = 7.3767 Å
α = 75.30°, β = 90.00°, γ = 90.00°
Element x y z (fractional)
Tb1 0.7502 0.9358 0.0161
Tb2 0.7498 0.9358 0.5161
Tb3 0.2502 0.0642 0.4839
Tb4 0.2498 0.0642 0.9839
Ho1 0.7439 0.4594 0.3897
Ho2 0.7561 0.4594 0.8897
Ho3 0.2439 0.5406 0.1103
Ho4 0.2561 0.5406 0.6103
Pd1 0.0437 0.7853 0.8000
Pd2 0.9563 0.2147 0.2000
Pd3 0.5437 0.2147 0.7000
Pd4 0.4563 0.7853 0.3000

Properties
Formation energy ... -0.506 eV per atom

---

Here is a relaxed Tb3Ho2Pd3 crystal from Alexandria. Energies are from GGA-PBE.

a = 3.5479 Å, b = 5.1766 Å, c = 10.9914 Å
α = 103.62°, β = 99.29°, γ = 90.00°
Element x y z (fractional)
Tb1 0.3837 0.3837 0.7674
Tb2 0.6163 0.6163 0.2326
Tb3 0.5000 0.0000 0.0000
Ho1 0.7259 0.2259 0.4518
Ho2 0.2741 0.7741 0.5482
Pd1 0.1156 0.1156 0.2311
Pd2 0.0000 0.5000 0.0000
Pd3 0.8844 0.8844 0.7689

Properties
Formation energy ... -0.627 eV per atom

---

Here is a relaxed TbHoPd4 crystal from Alexandria. Energies are from GGA-PBE.

a = 4.1094 Å, b = 3.9192 Å, c = 15.4594 Å
α = 90.00°, β = 97.64°, γ = 90.00°
Element x y z (fractional)
Pd1 0.2848 0.0000 0.5696
Pd2 0.7152 0.0000 0.4304
Pd3 0.8664 0.0000 0.7328
Pd4 0.0000 0.0000 0.0000
Pd5 0.3638 0.5000 0.7277
Pd6 0.5000 0.5000 0.0000
Pd7 0.6362 0.5000 0.2723
Pd8 0.1336 0.0000 0.2672
Ho1 0.4321 0.0000 0.8641
Ho2 0.5679 0.0000 0.1359
Tb1 0.7984 0.5000 0.5968
Tb2 0.2016 0.5000 0.4032

Properties
Formation energy ... -0.716 eV per atom

---

Here is a relaxed TbHo3Pd crystal from Alexandria. Energies are from GGA-PBE.

a = 7.1565 Å, b = 7.1565 Å, c = 7.4938 Å
α = 104.24°, β = 114.80°, γ = 107.64°
Element x y z (fractional)
Tb1 0.2973 0.9267 0.2240
Tb2 0.7027 0.0733 0.7760
Pd1 0.3521 0.2331 0.5851
Pd2 0.6479 0.7669 0.4149
Ho1 0.8353 0.0109 0.2440
Ho2 0.1647 0.9891 0.7560
Ho3 0.2731 0.5405 0.8136
Ho4 0.2331 0.4088 0.2440
Ho5 0.7669 0.5912 0.7560
Ho6 0.7269 0.4595 0.1864

Properties
Formation energy ... -0.264 eV per atom

---

Here is a relaxed TbHo3Pd12 crystal from Alexandria. Energies are from GGA-PBE.

a = 4.1108 Å, b = 4.1108 Å, c = 16.5387 Å
α = 90.00°, β = 90.00°, γ = 90.00°
Element x y z (fractional)
Ho1 0.0000 0.0000 0.2508
Ho2 0.0000 0.0000 0.5000
Ho3 0.0000 0.0000 0.7492
Pd1 0.0000 0.5000 0.8738
Pd2 0.5000 0.5000 0.2506
Pd3 0.0000 0.5000 0.1262
Pd4 0.5000 0.5000 0.0000
Pd5 0.5000 0.5000 0.5000
Pd6 0.5000 0.0000 0.1262
Pd7 0.0000 0.5000 0.3753
Pd8 0.5000 0.5000 0.7494
Pd9 0.5000 0.0000 0.6247
Pd10 0.5000 0.0000 0.3753
Pd11 0.0000 0.5000 0.6247
Pd12 0.5000 0.0000 0.8738
Tb1 0.0000 0.0000 0.0000

Properties
Formation energy ... -0.883 eV per atom

---

Here is a relaxed Tb4HoPd2 crystal from Alexandria. Energies are from GGA-PBE.

a = 6.3746 Å, b = 7.8375 Å, c = 8.1515 Å
α = 112.97°, β = 90.00°, γ = 90.00°
Element x y z (fractional)
Tb1 0.2500 0.9793 0.6088
Tb2 0.7500 0.7564 0.6528
Tb3 0.7500 0.0207 0.3912
Tb4 0.5054 0.4078 0.7725
Tb5 0.2500 0.2436 0.3472
Tb6 0.4946 0.5922 0.2275
Tb7 0.9946 0.4078 0.7725
Tb8 0.0054 0.5922 0.2275
Pd1 0.2500 0.6182 0.5827
Pd2 0.2500 0.2303 0.9908
Pd3 0.7500 0.7697 0.0092
Pd4 0.7500 0.3818 0.4173
Ho1 0.7500 0.1565 0.0286
Ho2 0.2500 0.8435 0.9714

Properties
Formation energy ... -0.426 eV per atom

---

Number 1: spin magnetization 0.0 μB/cell. Number 2: spin magnetization 0.0 μB/cell. Number 3: spin magnetization 0.0 μB/cell. Number 4: spin magnetization 0.0 μB/cell. Number 5: spin magnetization 0.0 μB/cell. Number 6: spin magnetization 0.0 μB/cell.